1:
# Te5Mo4 | Alexandria via LeMat-Bulk | PBE | optimized geometry
data_Te5Mo4
_cell_length_a 8.1365
_cell_length_b 8.1365
_cell_length_c 8.1365
_cell_angle_alpha 92.29
_cell_angle_beta 92.29
_cell_angle_gamma 156.92
_symmetry_space_group_name_H-M 'P 1'
_symmetry_Int_Tables_number 1
loop_
_symmetry_equiv_pos_as_xyz
'x,y,z'
loop_
_atom_site_label
_atom_site_type_symbol
_atom_site_fract_x
_atom_site_fract_y
_atom_site_fract_z
_atom_site_occupancy
Te1 Te 0.0000 0.0000 0.0000 1
Te2 Te 0.3323 0.3323 0.6646 1
Te3 Te 0.3323 0.6677 0.0000 1
Te4 Te 0.6677 0.3323 0.0000 1
Te5 Te 0.6677 0.6677 0.3354 1
Mo1 Mo 0.0000 0.3700 0.3700 1
Mo2 Mo 0.0000 0.6300 0.6300 1
Mo3 Mo 0.3700 0.0000 0.3700 1
Mo4 Mo 0.6300 0.0000 0.6300 1
# DOS at the Fermi energy	0.951	states/eV/atom
# size of the total moment	0.00	Bohr magnetons per cell



2:
# Te5Mo4 | Alexandria via LeMat-Bulk | PBE | optimized geometry
data_Te5Mo4
_cell_length_a 8.2725
_cell_length_b 8.2725
_cell_length_c 6.2262
_cell_angle_alpha 90.00
_cell_angle_beta 90.00
_cell_angle_gamma 120.00
_symmetry_space_group_name_H-M 'P 1'
_symmetry_Int_Tables_number 1
loop_
_symmetry_equiv_pos_as_xyz
'x,y,z'
loop_
_atom_site_label
_atom_site_type_symbol
_atom_site_fract_x
_atom_site_fract_y
_atom_site_fract_z
_atom_site_occupancy
Te1 Te 0.0000 0.2814 0.2500 1
Te2 Te 0.0000 0.7186 0.7500 1
Te3 Te 0.2814 0.0000 0.2500 1
Te4 Te 0.2814 0.2814 0.7500 1
Te5 Te 0.3333 0.6667 0.0000 1
Te6 Te 0.3333 0.6667 0.5000 1
Te7 Te 0.6667 0.3333 0.0000 1
Te8 Te 0.6667 0.3333 0.5000 1
Te9 Te 0.7186 0.0000 0.7500 1
Te10 Te 0.7186 0.7186 0.2500 1
Mo1 Mo 0.0000 0.0000 0.0000 1
Mo2 Mo 0.0000 0.0000 0.5000 1
Mo3 Mo 0.0000 0.3692 0.7500 1
Mo4 Mo 0.0000 0.6308 0.2500 1
Mo5 Mo 0.3692 0.0000 0.7500 1
Mo6 Mo 0.3692 0.3692 0.2500 1
Mo7 Mo 0.6308 0.0000 0.2500 1
Mo8 Mo 0.6308 0.6308 0.7500 1
# DOS at the Fermi energy	1.321	states/eV/atom
# size of the total moment	0.00	Bohr magnetons per cell



Least stable structure: 1



1:
# Te4Mo | Alexandria via LeMat-Bulk | PBE | optimized geometry
data_Te4Mo
_cell_length_a 6.7135
_cell_length_b 6.7135
_cell_length_c 6.7135
_cell_angle_alpha 90.00
_cell_angle_beta 90.00
_cell_angle_gamma 90.00
_symmetry_space_group_name_H-M 'P 1'
_symmetry_Int_Tables_number 1
loop_
_symmetry_equiv_pos_as_xyz
'x,y,z'
loop_
_atom_site_label
_atom_site_type_symbol
_atom_site_fract_x
_atom_site_fract_y
_atom_site_fract_z
_atom_site_occupancy
Te1 Te 0.2500 0.2500 0.2500 1
Te2 Te 0.2500 0.2500 0.7500 1
Te3 Te 0.2500 0.7500 0.2500 1
Te4 Te 0.2500 0.7500 0.7500 1
Te5 Te 0.7500 0.2500 0.2500 1
Te6 Te 0.7500 0.2500 0.7500 1
Te7 Te 0.7500 0.7500 0.2500 1
Te8 Te 0.7500 0.7500 0.7500 1
Mo1 Mo 0.0000 0.0000 0.0000 1
Mo2 Mo 0.5000 0.5000 0.5000 1
# DOS at the Fermi energy	0.826	states/eV/atom
# size of the total moment	4.84	Bohr magnetons per cell



2:
# Te4Mo | Alexandria via LeMat-Bulk | PBE | optimized geometry
data_Te4Mo
_cell_length_a 4.0767
_cell_length_b 4.0767
_cell_length_c 19.1643
_cell_angle_alpha 90.00
_cell_angle_beta 90.00
_cell_angle_gamma 90.00
_symmetry_space_group_name_H-M 'P 1'
_symmetry_Int_Tables_number 1
loop_
_symmetry_equiv_pos_as_xyz
'x,y,z'
loop_
_atom_site_label
_atom_site_type_symbol
_atom_site_fract_x
_atom_site_fract_y
_atom_site_fract_z
_atom_site_occupancy
Te1 Te 0.0000 0.0000 0.0727 1
Te2 Te 0.0000 0.0000 0.9273 1
Te3 Te 0.0000 0.5000 0.2500 1
Te4 Te 0.0000 0.5000 0.7500 1
Te5 Te 0.5000 0.0000 0.2500 1
Te6 Te 0.5000 0.0000 0.7500 1
Te7 Te 0.5000 0.5000 0.4273 1
Te8 Te 0.5000 0.5000 0.5727 1
Mo1 Mo 0.0000 0.0000 0.5000 1
Mo2 Mo 0.5000 0.5000 0.0000 1
# DOS at the Fermi energy	0.569	states/eV/atom
# size of the total moment	6.37	Bohr magnetons per cell



3:
# Te4Mo | Alexandria via LeMat-Bulk | PBE | optimized geometry
data_Te4Mo
_cell_length_a 5.2830
_cell_length_b 5.2830
_cell_length_c 5.2830
_cell_angle_alpha 90.00
_cell_angle_beta 90.00
_cell_angle_gamma 90.00
_symmetry_space_group_name_H-M 'P 1'
_symmetry_Int_Tables_number 1
loop_
_symmetry_equiv_pos_as_xyz
'x,y,z'
loop_
_atom_site_label
_atom_site_type_symbol
_atom_site_fract_x
_atom_site_fract_y
_atom_site_fract_z
_atom_site_occupancy
Te1 Te 0.0000 0.0000 0.0000 1
Te2 Te 0.0000 0.5000 0.5000 1
Te3 Te 0.5000 0.0000 0.5000 1
Te4 Te 0.5000 0.5000 0.0000 1
Mo1 Mo 0.5000 0.5000 0.5000 1
# DOS at the Fermi energy	1.138	states/eV/atom
# size of the total moment	0.00	Bohr magnetons per cell



Least stable structure: 2



1:
# Te4Mo5 | Alexandria via LeMat-Bulk | PBE | optimized geometry
data_Te4Mo5
_cell_length_a 7.3170
_cell_length_b 7.3170
_cell_length_c 7.3170
_cell_angle_alpha 94.49
_cell_angle_beta 94.49
_cell_angle_gamma 147.52
_symmetry_space_group_name_H-M 'P 1'
_symmetry_Int_Tables_number 1
loop_
_symmetry_equiv_pos_as_xyz
'x,y,z'
loop_
_atom_site_label
_atom_site_type_symbol
_atom_site_fract_x
_atom_site_fract_y
_atom_site_fract_z
_atom_site_occupancy
Te1 Te 0.0000 0.2839 0.2839 1
Te2 Te 0.0000 0.7161 0.7161 1
Te3 Te 0.2839 0.0000 0.2839 1
Te4 Te 0.7161 0.0000 0.7161 1
Mo1 Mo 0.0000 0.0000 0.0000 1
Mo2 Mo 0.3656 0.3656 0.7312 1
Mo3 Mo 0.3656 0.6344 0.0000 1
Mo4 Mo 0.6344 0.3656 0.0000 1
Mo5 Mo 0.6344 0.6344 0.2688 1
# DOS at the Fermi energy	0.590	states/eV/atom
# size of the total moment	0.00	Bohr magnetons per cell



2:
# Te4Mo5 | Alexandria via LeMat-Bulk | PBE | optimized geometry
data_Te4Mo5
_cell_length_a 8.4374
_cell_length_b 8.4374
_cell_length_c 5.5721
_cell_angle_alpha 90.00
_cell_angle_beta 90.00
_cell_angle_gamma 120.00
_symmetry_space_group_name_H-M 'P 1'
_symmetry_Int_Tables_number 1
loop_
_symmetry_equiv_pos_as_xyz
'x,y,z'
loop_
_atom_site_label
_atom_site_type_symbol
_atom_site_fract_x
_atom_site_fract_y
_atom_site_fract_z
_atom_site_occupancy
Te1 Te 0.0000 0.0000 0.0000 1
Te2 Te 0.0000 0.0000 0.5000 1
Te3 Te 0.0000 0.3699 0.2500 1
Te4 Te 0.0000 0.6301 0.7500 1
Te5 Te 0.3699 0.0000 0.2500 1
Te6 Te 0.3699 0.3699 0.7500 1
Te7 Te 0.6301 0.0000 0.7500 1
Te8 Te 0.6301 0.6301 0.2500 1
Mo1 Mo 0.0000 0.3192 0.7500 1
Mo2 Mo 0.0000 0.6808 0.2500 1
Mo3 Mo 0.3192 0.0000 0.7500 1
Mo4 Mo 0.3192 0.3192 0.2500 1
Mo5 Mo 0.3333 0.6667 0.0000 1
Mo6 Mo 0.3333 0.6667 0.5000 1
Mo7 Mo 0.6667 0.3333 0.0000 1
Mo8 Mo 0.6667 0.3333 0.5000 1
Mo9 Mo 0.6808 0.0000 0.2500 1
Mo10 Mo 0.6808 0.6808 0.7500 1
# DOS at the Fermi energy	1.398	states/eV/atom
# size of the total moment	0.00	Bohr magnetons per cell



Least stable structure: 2